Entry from Alexandria via LeMat-Bulk: SrTc2Os after structural relaxation (PBE).

Properties
SG: Cm, No. 8
Energy, eV/atom: -7.744
Polymorph energy (0 for the lowest one), eV per atom: 0.056

Cell lengths 4.876, 4.876, 6.016 Å; angles 77.44, 77.44, 35.92 degrees
Positions (direct):
Os  0.471  0.471  0.594
Sr  0.247  0.247  0.254
Tc  0.033  0.033  0.902
Tc  0.749  0.749  0.749



Entry from Alexandria via LeMat-Bulk: Li3Mg2Cd2 after structural relaxation (PBE).

Properties
SG: C2/m, No. 12
Energy, eV/atom: -1.708

Cell lengths 4.844, 4.819, 7.441 Å; angles 109.15, 90.00, 120.17 degrees
Positions (direct):
Li  0.500  0.000  0.000
Li  0.645  0.291  0.436
Li  0.355  0.709  0.564
Mg  0.927  0.853  0.278
Mg  0.073  0.147  0.722
Cd  0.782  0.565  0.849
Cd  0.218  0.435  0.151



Entry from Alexandria via LeMat-Bulk: Mg2ZrCu after structural relaxation (PBE).

Properties
SG: I-42d, No. 122
Energy, eV/atom: -3.673

Cell lengths 7.685, 7.685, 6.102 Å; angles 50.97, 50.97, 90.00 degrees
Positions (direct):
Mg  0.572  0.125  0.250
Mg  0.178  0.625  0.250
Mg  0.375  0.428  0.750
Mg  0.875  0.822  0.750
Cu  0.500  0.500  0.000
Cu  0.250  0.750  0.500
Zr  0.000  0.000  0.000
Zr  0.750  0.250  0.500



Entry from Alexandria via LeMat-Bulk: K2Sr2Bi after structural relaxation (PBE).

Properties
SG: P4/mbm, No. 127
Energy, eV/atom: -2.091

Cell lengths 8.895, 8.895, 7.162 Å; angles 90.00, 90.00, 90.00 degrees
Positions (direct):
Sr  0.334  0.834  0.000
Sr  0.834  0.666  0.000
Sr  0.666  0.166  0.000
Sr  0.166  0.334  0.000
K  0.170  0.670  0.500
K  0.670  0.830  0.500
K  0.830  0.330  0.500
K  0.330  0.170  0.500
Bi  0.000  0.000  0.000
Bi  0.500  0.500  0.000



Entry from Alexandria via LeMat-Bulk: Y4CrFe after structural relaxation (PBE).

Properties
SG: F-43m, No. 216
Energy, eV/atom: -6.339

Cell lengths 6.196, 6.196, 6.196 Å; angles 60.00, 60.00, 60.00 degrees
Last column: magnetic moment on the atom in μB.
Positions (direct):
Y  0.875  0.375  0.375  -0.07
Y  0.375  0.375  0.875  -0.07
Y  0.375  0.875  0.375  -0.07
Y  0.375  0.375  0.375  -0.07
Cr  0.750  0.750  0.750  3.87
Fe  0.000  0.000  0.000  3.13



Entry from Alexandria via LeMat-Bulk: ZrGaOs after structural relaxation (PBE).

Properties
SG: Pmn2_1, No. 31
Energy, eV/atom: -7.954

Cell lengths 4.417, 3.142, 7.556 Å; angles 90.00, 90.00, 90.00 degrees
Positions (direct):
Zr  0.000  0.978  0.909
Zr  0.500  0.022  0.409
Ga  0.000  0.516  0.571
Ga  0.500  0.484  0.071
Os  0.000  0.400  0.239
Os  0.500  0.600  0.739



Entry from Alexandria via LeMat-Bulk: TbYThCo after structural relaxation (PBE).

Properties
SG: Cm, No. 8
Energy, eV/atom: -6.387

Cell lengths 3.732, 3.730, 9.267 Å; angles 89.99, 89.98, 60.06 degrees
Last column: magnetic moment on the atom in μB.
Positions (direct):
Tb  0.979  0.843  0.641  0.25
Y  0.644  0.509  0.950  0.05
Th  0.644  0.509  0.321  0.03
Co  0.978  0.843  0.150  0.04



Entry from Alexandria via LeMat-Bulk: Gd2LuCl after structural relaxation (PBE).

Properties
SG: R-3m, No. 166
Energy, eV/atom: -9.293

Cell lengths 3.622, 3.622, 10.157 Å; angles 79.73, 79.73, 60.00 degrees
Last column: magnetic moment on the atom in μB.
Positions (direct):
Gd  0.740  0.740  0.780  7.17
Gd  0.260  0.260  0.220  7.17
Lu  0.500  0.500  0.500  0.22
Cl  0.000  0.000  0.000  -0.01



Entry from Alexandria via LeMat-Bulk: TbHo4P5 after structural relaxation (PBE).

Properties
SG: I4/m, No. 87
Energy, eV/atom: -6.614

Cell lengths 5.651, 6.921, 6.921 Å; angles 80.41, 65.91, 65.91 degrees
Positions (direct):
Tb  0.001  0.000  0.000
Ho  0.401  0.400  0.800
Ho  0.801  0.800  0.600
Ho  0.201  0.200  0.400
Ho  0.601  0.600  0.200
P  0.901  0.402  0.799
P  0.302  0.799  0.598
P  0.700  0.201  0.402
P  0.101  0.598  0.201
P  0.501  0.000  0.000



Entry from Alexandria via LeMat-Bulk: NdPaNi17 after structural relaxation (PBE).

Properties
SG: R3m, No. 160
Energy, eV/atom: -6.122

Cell lengths 6.262, 6.262, 6.262 Å; angles 83.00, 83.00, 83.00 degrees
Last column: magnetic moment on the atom in μB.
Positions (direct):
Nd  0.661  0.661  0.661  -0.06
Pa  0.336  0.336  0.336  -0.33
Ni  0.293  0.003  0.703  0.34
Ni  0.703  0.293  0.003  0.34
Ni  0.003  0.703  0.293  0.34
Ni  0.293  0.703  0.003  0.34
Ni  0.003  0.293  0.703  0.34
Ni  0.703  0.003  0.293  0.34
Ni  0.344  0.850  0.344  0.36
Ni  0.344  0.344  0.850  0.36
Ni  0.850  0.344  0.344  0.36
Ni  0.651  0.159  0.651  0.35
Ni  0.651  0.651  0.159  0.35
Ni  0.159  0.651  0.651  0.35
Ni  0.998  0.502  0.998  0.46
Ni  0.998  0.998  0.502  0.46
Ni  0.502  0.998  0.998  0.46
Ni  0.904  0.904  0.904  0.36
Ni  0.104  0.104  0.104  0.26



Entry from Alexandria via LeMat-Bulk: MgCr2Ni after structural relaxation (PBE).

Properties
SG: I-42d, No. 122
Energy, eV/atom: -5.889

Cell lengths 6.899, 6.899, 5.431 Å; angles 50.57, 50.57, 90.00 degrees
Last column: magnetic moment on the atom in μB.
Positions (direct):
Ni  0.000  0.000  0.000  0.15
Ni  0.750  0.250  0.500  0.14
Mg  0.500  0.500  0.000  -0.01
Mg  0.250  0.750  0.500  -0.01
Cr  0.668  0.125  0.250  0.85
Cr  0.082  0.625  0.250  0.81
Cr  0.375  0.332  0.750  0.88
Cr  0.875  0.918  0.750  0.84



Entry from Alexandria via LeMat-Bulk: Pr2HoS4 after structural relaxation (PBE).

Properties
SG: Cmcm, No. 63
Energy, eV/atom: -6.365
Polymorph energy (0 for the lowest one), eV per atom: 0.062

Cell lengths 3.877, 7.053, 13.486 Å; angles 90.00, 90.00, 105.95 degrees
Positions (direct):
Pr  0.129  0.259  0.427
Pr  0.871  0.741  0.927
Pr  0.129  0.259  0.073
Pr  0.871  0.741  0.573
Ho  0.628  0.256  0.750
Ho  0.372  0.744  0.250
S  0.781  0.562  0.127
S  0.781  0.562  0.373
S  0.219  0.438  0.873
S  0.219  0.438  0.627
S  0.985  0.969  0.750
S  0.015  0.031  0.250
S  0.500  0.000  0.000
S  0.500  0.000  0.500